## YCoGe2Pd (PBE-GGA)

Data for a relaxed structure of YCoGe2Pd.

Values from the calculation:
**ρ**: 7.6 g/cm3
**Symmetry**: I-4m2, No. 119
**Calculated formation energy**: -0.66 eV per atom
**Total magnetization**: 1.18 Bohr magnetons per cell

a b c (Å): 5.888 5.888 5.888
angles (deg): 139.03 139.03 59.33
Sites, in units of the cell vectors:
Y  0.000  0.000  0.000
Co  0.750  0.250  0.500
Ge  0.378  0.378  0.000
Ge  0.622  0.622  0.000
Pd  0.250  0.750  0.500